First-principles (GGA-PBE) data for LiMg2Ni5B2 after structural relaxation, as listed in the Alexandria database.

Geometry as POSCAR:
```
LiMg2Ni5B2
1.0
8.668 0.000 0.000
0.000 8.668 0.000
0.000 0.000 2.939
Li Mg Ni B
2 4 10 4
direct
0.000 0.000 0.000 Li
0.500 0.500 0.000 Li
0.176 0.324 0.000 Mg
0.324 0.824 0.000 Mg
0.676 0.176 0.000 Mg
0.824 0.676 0.000 Mg
0.000 0.500 0.500 Ni
0.070 0.778 0.500 Ni
0.222 0.070 0.500 Ni
0.278 0.570 0.500 Ni
0.430 0.278 0.500 Ni
0.500 0.000 0.500 Ni
0.570 0.722 0.500 Ni
0.722 0.430 0.500 Ni
0.778 0.930 0.500 Ni
0.930 0.222 0.500 Ni
0.123 0.623 0.000 B
0.377 0.123 0.000 B
0.623 0.877 0.000 B
0.877 0.377 0.000 B
```

D(E_F) ... 3.65 states/eV/f.u.
Energy relative to the elements ... -0.268 eV per atom
Symmetry ... No. 127